[1]
This record from Alexandria via LeMat-Bulk describes a relaxed Cd7Ru crystal. The functional is PBE.

Cell: 6.0988 6.0988 6.0988 Å, 60.00 60.00 60.00°
Closest atoms and distances in Å follow each position.
Atoms (fractional coordinates):
1 Cd 0.0000 0.0000 0.0000  12 Cd 3.05
2 Cd 0.0000 0.0000 0.5000  10 Cd 3.05, 2 Ru 3.05
3 Cd 0.0000 0.5000 0.0000  10 Cd 3.05, 2 Ru 3.05
4 Cd 0.0000 0.5000 0.5000  2 Ru 3.05, 10 Cd 3.05
5 Cd 0.5000 0.0000 0.0000  10 Cd 3.05, 2 Ru 3.05
6 Cd 0.5000 0.0000 0.5000  2 Ru 3.05, 10 Cd 3.05
7 Cd 0.5000 0.5000 0.0000  2 Ru 3.05, 10 Cd 3.05
8 Ru 0.5000 0.5000 0.5000  12 Cd 3.05

Properties
VASP energy (eV for the cell shown): -14.8
Space-group type: No. 225


[2]
This record from Alexandria via LeMat-Bulk describes a relaxed Cd4Ru crystal. The functional is PBE.

Cell: 5.2771 5.2771 5.2771 Å, 98.66 98.66 134.34°
Closest atoms and distances in Å follow each position.
Atoms (fractional coordinates):
1 Cd 0.1032 0.7105 0.8137  9 Cd 2.93-3.23, 3 Ru 2.94-3.09
2 Cd 0.2895 0.1032 0.3926  9 Cd 2.93-3.23, 3 Ru 2.94-3.09
3 Cd 0.7105 0.8968 0.6074  9 Cd 2.93-3.23, 3 Ru 2.94-3.09
4 Cd 0.8968 0.2895 0.1863  9 Cd 2.93-3.23, 3 Ru 2.94-3.09
5 Ru 0.5000 0.5000 0.0000  12 Cd 2.94-3.09

Properties
VASP energy (eV for the cell shown): -12.0
Space-group type: No. 87


[3]
This record from Alexandria via LeMat-Bulk describes a relaxed CdRu2 crystal. The functional is PBE.

Cell: 4.4630 4.4630 2.7912 Å, 90.00 90.00 120.00°
Closest atoms and distances in Å follow each position.
Atoms (fractional coordinates):
1 Cd 0.0000 0.0000 0.0000  2 Cd 2.79, 12 Ru 2.93
2 Ru 0.3333 0.6667 0.5000  5 Ru 2.58-2.79
3 Ru 0.6667 0.3333 0.5000  5 Ru 2.58-2.79

Properties
VASP energy (eV for the cell shown): -18.1
Space-group type: No. 191